Compound: LaPmNd2Er2
Source: the Alexandria database
Functional: GGA-PBE
Structure: relaxed

It has space group Pnnm (No. 58), with a = 7.0880 Å, b = 9.9648 Å, c = 5.7506 Å, α = 90.00°, β = 90.00° and γ = 90.00°. The inequivalent atoms are La at (0.0000, 0.0000, 0.0000), Pm at (0.0000, 0.5000, 0.5000), Nd at (0.2483, 0.3328, 0.0000) and Er at (0.2500, 0.1663, 0.5000).

The value obtained for the density of states at the Fermi level is 1.589 states/eV/atom. The formation energy is 39 kJ/mol of formula units.